Crystalline MnAg3Pd6 at its relaxed geometry. Source: Alexandria via LeMat-Bulk, functional PBE-GGA.

The formation energy is -6 kJ/mol of atoms. The calculation puts the size of the total moment at 0.49 μB/atom. The calculation puts the raw total energy at -49.505 eV per formula unit.

The structure belongs to space group P2_1/m (No. 11); the cell edges are 7.499, 4.642 and 9.909 Å and the angles 90.00°, 111.55° and 90.00°. The distinct sites, in fractional coordinates, are Mn at (0.116, 0.250, 0.078), Ag at (0.096, 0.750, 0.727), Ag at (0.296, 0.750, 0.525), Ag at (0.317, 0.250, 0.872), Pd at (0.082, 0.750, 0.216), Pd at (0.110, 0.250, 0.570), Pd at (0.275, 0.750, 0.025), Pd at (0.301, 0.250, 0.365), Pd at (0.487, 0.750, 0.326) and Pd at (0.495, 0.250, 0.170).